Entry 1:
Density functional theory data (PBE-GGA) for an optimized crystal structure of NbPN2.

Values from the calculation:
DOS(E_F): 4.78 states/eV per cell
formation energy without anion corrections: 10.6 kJ per mole of atoms
ρ: 5.77 g/cm3

Cell lengths 4.6605, 4.6605, 8.0457 Å; angles 90.00, 90.00, 90.00 degrees
Closest atoms and distances in Å follow each position.
Space group I-42d (No. 122)
Asymmetric unit:
Nb  0.0000  0.0000  0.0000 (multiplicity 4)  4 N 2.22
P  0.0000  0.0000  0.5000 (multiplicity 4)  4 N 1.70
N  0.1569  0.2500  0.6250 (multiplicity 8)  2 P 1.70


Entry 2:
Density functional theory data (PBE-GGA) for an optimized crystal structure of Re2HgW.

Values from the calculation:
DOS(E_F): 2.45 states/eV per cell
final energy: -8.986 eV per atom
ρ: 18.53 g/cm3

Cell lengths 2.9277, 3.9745, 5.8292 Å; angles 90.00, 90.00, 90.00 degrees
Closest atoms and distances in Å follow each position.
Space group Pmmm (No. 47)
Asymmetric unit:
Re  0.0000  0.0000  0.2089 (multiplicity 2)  1 Re 2.44
Hg  0.5000  0.5000  0.5000 (multiplicity 1)  2 W 2.91, 2 Hg 2.93, 8 Re 3.00
W  0.5000  0.5000  0.0000 (multiplicity 1)  8 Re 2.75, 2 Hg 2.91, 2 W 2.93